Here is Rb6In2Co2Si9O26 after structural relaxation from Alexandria. Energies are from PBE with a Hubbard U.

Cell: 8.231 8.231 21.153 Å, 90.00 90.00 96.34°
Sites, in units of the cell vectors:
O: 0.983 0.344 0.211
O: 0.033 0.602 0.924
O: 0.530 0.471 0.260
O: 0.260 0.017 0.644
O: 0.557 0.106 0.700
O: 0.896 0.976 0.440
O: 0.606 0.057 0.200
O: 0.662 0.855 0.524
O: 0.602 0.033 0.076
O: 0.057 0.606 0.800
O: 0.030 0.971 0.240
O: 0.164 0.446 0.702
O: 0.760 0.517 0.856
O: 0.066 0.740 0.685
O: 0.329 0.401 0.362
O: 0.844 0.483 0.711
O: 0.017 0.260 0.356
O: 0.533 0.102 0.576
O: 0.740 0.066 0.315
O: 0.855 0.662 0.476
O: 0.337 0.871 0.513
O: 0.880 0.147 0.872
O: 0.401 0.329 0.638
O: 0.542 0.087 0.450
O: 0.566 0.240 0.815
O: 0.087 0.542 0.550
O: 0.971 0.030 0.760
O: 0.240 0.566 0.185
O: 0.517 0.760 0.144
O: 0.147 0.880 0.128
O: 0.396 0.476 0.060
O: 0.355 0.162 0.024
O: 0.647 0.380 0.372
O: 0.664 0.946 0.798
O: 0.102 0.533 0.424
O: 0.371 0.837 0.013
O: 0.837 0.371 0.987
O: 0.042 0.587 0.050
O: 0.483 0.844 0.289
O: 0.587 0.042 0.950
O: 0.106 0.557 0.300
O: 0.901 0.829 0.862
O: 0.471 0.530 0.740
O: 0.829 0.901 0.138
O: 0.946 0.664 0.202
O: 0.476 0.396 0.940
O: 0.871 0.337 0.487
O: 0.446 0.164 0.298
O: 0.344 0.983 0.789
O: 0.976 0.896 0.560
O: 0.162 0.355 0.976
O: 0.380 0.647 0.628
Co: 0.941 0.162 0.271
Co: 0.662 0.441 0.771
Co: 0.441 0.662 0.229
Co: 0.162 0.941 0.729
Si: 0.068 0.527 0.223
Si: 0.015 0.476 0.987
Si: 0.636 0.931 0.141
Si: 0.027 0.568 0.723
Si: 0.996 0.858 0.177
Si: 0.358 0.496 0.677
Si: 0.858 0.996 0.823
Si: 0.855 0.855 0.500
Si: 0.568 0.027 0.277
Si: 0.527 0.068 0.777
Si: 0.431 0.136 0.641
Si: 0.931 0.636 0.859
Si: 0.355 0.355 0.000
Si: 0.515 0.976 0.513
Si: 0.976 0.515 0.487
Si: 0.476 0.015 0.013
Si: 0.496 0.358 0.323
Si: 0.136 0.431 0.359
Rb: 0.708 0.786 0.664
Rb: 0.011 0.011 0.000
Rb: 0.511 0.511 0.500
Rb: 0.718 0.404 0.133
Rb: 0.286 0.208 0.164
Rb: 0.173 0.173 0.500
Rb: 0.218 0.904 0.367
Rb: 0.208 0.286 0.836
Rb: 0.786 0.708 0.336
Rb: 0.404 0.718 0.867
Rb: 0.673 0.673 0.000
Rb: 0.904 0.218 0.633
In: 0.686 0.271 0.910
In: 0.271 0.686 0.090
In: 0.771 0.186 0.410
In: 0.186 0.771 0.590

Results
- Space-group type: Aea2, No. 41
- VASP energy: -6.804 eV per atom
- Spin magnetization: 12.0 μB/cell
- ρ: 3.56 Mg/m³